# 1
VASP calculation (PBE-GGA) on a relaxed structure of Ba2SrAg.

Computed properties:
Total magnetic moment in μB per formula unit: 0.000
Formation energy from the elements in kJ per mole of atoms: 7.9
V in Å³ per atom: 45.35
E above lowest polymorph in eV per formula unit: 0.91

```
Ba2SrAg
1.0
7.349 0.002 0.000
3.425 6.502 0.000
-5.387 -3.252 3.796
Ag Ba Sr
1 2 1
direct
0.750 0.250 0.500
0.000 0.000 0.000
0.250 0.750 0.500
0.500 0.500 0.000
```

# 2
VASP calculation (PBE-GGA) on a relaxed structure of Sb7Au.

Computed properties:
Total magnetic moment in μB per formula unit: 0.000
Energy relative to the elements, uncorrected in kcal/mol of atoms: 6.91
V in Å³ per atom: 26.38

```
Sb7Au
1.0
0.000 4.725 4.725
4.725 0.000 4.725
4.725 4.725 0.000
Sb Au
7 1
direct
0.500 0.500 0.000
0.500 0.000 0.500
0.500 0.000 0.000
0.000 0.000 0.500
0.000 0.500 0.000
0.000 0.500 0.500
0.500 0.500 0.500
0.000 0.000 0.000
```

# 3
VASP calculation (PBE-GGA) on a relaxed structure of YMg5.

Computed properties:
Total magnetic moment in μB per formula unit: 0.271
Formation energy from the elements in kJ per mole of atoms: -3.0
V in Å³ per atom: 24.47

```
YMg5
1.0
-0.442 -0.731 -3.511
-3.230 -1.456 0.710
-4.849 10.038 -1.480
Mg Y
5 1
direct
0.000 0.000 0.811
0.000 0.000 0.189
0.500 0.500 0.658
0.500 0.500 0.342
0.000 0.000 0.500
0.500 0.500 0.000
```

# 4
VASP calculation (PBE-GGA) on a relaxed structure of CaBeCr2.

Computed properties:
Total magnetic moment in μB per formula unit: 0.108
Formation energy from the elements in kJ per mole of atoms: 98.7
V in Å³ per atom: 14.84

```
CaBeCr2
1.0
5.123 0.001 0.000
2.501 4.472 0.000
-3.812 -2.236 2.591
Cr Ca Be
2 1 1
direct
0.000 0.000 0.000
0.500 0.500 0.000
0.750 0.250 0.500
0.250 0.750 0.500
```

# 5
VASP calculation (PBE-GGA) on a relaxed structure of Na4Tl.

Computed properties:
Total magnetic moment in μB per formula unit: 0.000
Formation energy from the elements in kJ per mole of atoms: -4.8
V in Å³ per atom: 31.81
E above lowest polymorph in eV per formula unit: 0.00

```
Na4Tl
1.0
4.221 0.000 0.000
2.111 6.139 0.000
2.111 0.000 6.139
Na Tl
4 1
direct
0.596 0.188 0.620
0.784 0.620 0.812
0.404 0.812 0.380
0.216 0.380 0.188
0.000 0.000 0.000
```

# 6
VASP calculation (PBE-GGA) on a relaxed structure of Li6AcIn12.

Computed properties:
Total magnetic moment in μB per formula unit: 0.000
Formation energy from the elements in kJ per mole of atoms: -13.7
V in Å³ per atom: 24.05

```
Li6AcIn12
1.0
8.038 -0.026 -0.036
-2.017 7.781 -0.036
-2.017 -2.599 7.335
Li Ac In
6 1 12
direct
0.714 0.276 0.276
0.276 0.276 0.714
0.276 0.714 0.276
0.724 0.724 0.286
0.286 0.724 0.724
0.724 0.286 0.724
0.000 0.000 0.000
0.884 0.116 0.500
0.847 0.592 0.592
0.592 0.592 0.847
0.408 0.153 0.408
0.408 0.408 0.153
0.153 0.408 0.408
0.116 0.500 0.884
0.500 0.884 0.116
0.116 0.884 0.500
0.884 0.500 0.116
0.500 0.116 0.884
0.592 0.847 0.592
```